A geometry-optimized Ho4CoTe2Se structure. Source: the Alexandria database, functional GGA-PBE.

Computed properties:
VASP energy ... -5.512 eV per atom
E_form (uncorrected) ... -1.11 eV/atom
Calculated volume ... 26.12 Å³/atom

Cell and atoms, written as CIF:
```
data_Ho4CoTe2Se
_cell_length_a 7.315
_cell_length_b 4.046
_cell_length_c 7.425
_cell_angle_alpha 90.00
_cell_angle_beta 108.02
_cell_angle_gamma 90.00
_symmetry_space_group_name_H-M 'P 1 2/m 1'
_symmetry_Int_Tables_number 10
loop_
_symmetry_equiv_pos_as_xyz
'x,y,z'
'-x,-y,-z'
'-x,y,-z'
'x,-y,z'
loop_
_atom_site_label
_atom_site_fract_x
_atom_site_fract_y
_atom_site_fract_z
Ho1 0.213 0.000 0.202
Ho2 0.240 0.500 0.786
Co1 0.000 0.500 0.000
Te1 0.000 0.000 0.500
Te2 0.500 0.500 0.500
Se1 0.500 0.000 0.000
```